Entry 1:
Compound: Cs2ReWI6
Source: Alexandria via LeMat-Bulk
Functional: PBE-GGA
Structure: optimized geometry

Calculated values
The total magnetization comes out at 7.86 Bohr magnetons per cell. Its raw formation energy is -0.08 eV/atom. For the calculated volume, the calculation gives 395 Å³/cell.

a b c (Å): 8.233 8.233 8.233
angles (deg): 119.88 119.88 90.20
Sites, in units of the cell vectors:
Cs1 0.250 0.750 0.500
Cs2 0.750 0.250 0.500
Re1 0.000 0.000 0.000
W1 0.500 0.500 0.000
I1 0.251 0.251 0.000
I2 0.252 0.252 0.505
I3 0.252 0.748 0.000
I4 0.748 0.252 0.000
I5 0.748 0.748 0.495
I6 0.749 0.749 0.000

---

Entry 2:
Compound: Pr2NiHIr
Source: Alexandria via LeMat-Bulk
Functional: PBE-GGA
Structure: optimized geometry

Calculated values
The total magnetization comes out at 0.00 Bohr magnetons per cell. Its uncorrected energy is -5.996 eV/atom. For the calculated volume, the calculation gives 193 Å³/cell.

a b c (Å): 5.953 4.303 8.075
angles (deg): 90.00 111.04 90.00
Sites, in units of the cell vectors:
Pr1 0.204 0.250 0.433
Pr2 0.282 0.750 0.068
Pr3 0.718 0.250 0.932
Pr4 0.796 0.750 0.567
Ni1 0.353 0.750 0.713
Ni2 0.647 0.250 0.287
H1 0.384 0.750 0.522
H2 0.616 0.250 0.478
Ir1 0.165 0.250 0.796
Ir2 0.835 0.750 0.204

---

Q: Number 2 is which compound?
A: Pr2NiHIr

---

Q: What is the formula in the second record?
A: Pr2NiHIr

---

Q: Among the records above, which one has the highest calculated volume?
A: Cs2ReWI6

---

Q: Look up the total magnetization of the second one.
A: 0.00 Bohr magnetons per cell